*w*
4
Lattice="6.850 -2.080 0.000 6.850 2.080 0.000 -0.806 0.000 4.817" Properties=species:S:1:pos:R:3 comment="KCuBr2 (PBE, optimized geometry)" dos_at_fermi_per_ev_cell=0.00 volume_a3_per_atom=34.31 pbc="T T T"
K 0.000 0.000 0.000
Cu 9.214 0.000 3.785
Br 3.286 0.000 4.545
Br 7.193 0.000 2.537

*x*
4
Lattice="0.000 3.718 3.718 3.718 0.000 3.718 3.718 3.718 0.000" Properties=species:S:1:pos:R:3 comment="KCuBr2 (PBE, optimized geometry)" dos_at_fermi_per_ev_cell=0.00 volume_a3_per_atom=25.70 pbc="T T T"
K 0.000 0.000 0.000
Cu 3.718 3.718 3.718
Br 1.859 1.859 1.859
Br 5.577 5.577 5.577

Which one is the most stable? From the structures above, *w*.